# SnMoI2O, relaxed, DFT PBE with a Hubbard U
# Density of states at the Fermi level in states/eV/atom: 0.627
# V in Å³/atom: 28.58
# DFT total energy in eV per atom: -4.132
# Mass density in g/cm³: 5.629
data_SnMoI2O
_chemical_formula_sum 'Sn1 Mo1 I2 O1'
_cell_length_a 6.028
_cell_length_b 6.028
_cell_length_c 3.932
_cell_angle_alpha 90.00
_cell_angle_beta 90.00
_cell_angle_gamma 90.00
_space_group_name_H-M_alt 'P 1'
_space_group_IT_number 1
_space_group_name_Hall 'P 1'
loop_
_atom_site_label
_atom_site_fract_x
_atom_site_fract_y
_atom_site_fract_z
I1 0.000 0.500 0.000
I2 0.500 0.000 0.000
Mo1 0.000 0.000 0.000
Sn1 0.500 0.500 0.500
O1 0.000 0.000 0.500